Compound: Cd3SiGe
Source: the Alexandria database
Functional: GGA-PBE
Structure: optimized geometry

Properties
As for the space-group type: Pm-3m, No. 221. As for the calculated total energy: -9.0 eV/cell. The calculation puts the offset from the most stable computed form at 141 meV/atom. The formation energy without anion corrections is 0.75 eV/atom.

a b c (Å): 5.165 5.165 5.165
angles (deg): 90.00 90.00 90.00
Fractional coordinates of all 5 atoms:
Cd (0.000, 0.000, 0.500)
Cd (0.000, 0.500, 0.000)
Cd (0.500, 0.000, 0.000)
Si (0.500, 0.500, 0.500)
Ge (0.000, 0.000, 0.000)

=====

Compound: CdSiGe3
Source: the Alexandria database
Functional: GGA-PBE
Structure: optimized geometry

Properties
As for the space-group type: Pm-3m, No. 221. As for the calculated total energy: -17.3 eV/cell. The calculation puts the offset from the most stable computed form at 0 meV/atom. The formation energy without anion corrections is 0.58 eV/atom.

a b c (Å): 4.838 4.838 4.838
angles (deg): 90.00 90.00 90.00
Fractional coordinates of all 5 atoms:
Cd (0.000, 0.000, 0.000)
Si (0.500, 0.500, 0.500)
Ge (0.000, 0.500, 0.500)
Ge (0.500, 0.000, 0.500)
Ge (0.500, 0.500, 0.000)

=====

Compound: CdSiGe2
Source: the Alexandria database
Functional: GGA-PBE
Structure: optimized geometry

Properties
As for the space-group type: I-42d, No. 122. As for the calculated total energy: -57.8 eV/cell. The calculation puts the offset from the most stable computed form at 0 meV/atom. The formation energy without anion corrections is 0.28 eV/atom.

a b c (Å): 6.127 6.127 10.740
angles (deg): 90.00 90.00 90.00
Fractional coordinates of all 16 atoms:
Cd (0.000, 0.000, 0.000)
Cd (0.000, 0.500, 0.250)
Cd (0.500, 0.000, 0.750)
Cd (0.500, 0.500, 0.500)
Si (0.000, 0.000, 0.500)
Si (0.000, 0.500, 0.750)
Si (0.500, 0.000, 0.250)
Si (0.500, 0.500, 0.000)
Ge (0.213, 0.250, 0.625)
Ge (0.250, 0.713, 0.875)
Ge (0.250, 0.787, 0.375)
Ge (0.287, 0.250, 0.125)
Ge (0.713, 0.750, 0.125)
Ge (0.750, 0.213, 0.375)
Ge (0.750, 0.287, 0.875)
Ge (0.787, 0.750, 0.625)

=====

Compound: ZnCd2SiGe
Source: the Alexandria database
Functional: GGA-PBE
Structure: optimized geometry

Properties
As for the space-group type: P4/mmm, No. 123. As for the calculated total energy: -10.3 eV/cell. The formation energy without anion corrections is 0.57 eV/atom.

a b c (Å): 5.211 5.211 4.753
angles (deg): 90.00 90.00 90.00
Fractional coordinates of all 5 atoms:
Zn (0.000, 0.000, 0.000)
Cd (0.000, 0.500, 0.500)
Cd (0.500, 0.000, 0.500)
Si (0.500, 0.500, 0.500)
Ge (0.500, 0.500, 0.000)

=====

Compound: Sm2CdGe
Source: the Alexandria database
Functional: GGA-PBE
Structure: optimized geometry

Properties
As for the space-group type: R-3m, No. 166. The calculation puts the formation energy at -1.8 eV per formula unit. As for the calculated total energy: -50.2 eV/cell.

a b c (Å): 4.360 4.360 21.733
angles (deg): 90.00 90.00 120.00
Fractional coordinates of all 12 atoms:
Sm (0.000, 0.000, 0.236)
Sm (0.000, 0.000, 0.764)
Sm (0.333, 0.667, 0.431)
Sm (0.333, 0.667, 0.903)
Sm (0.667, 0.333, 0.097)
Sm (0.667, 0.333, 0.569)
Cd (0.000, 0.000, 0.000)
Cd (0.333, 0.667, 0.667)
Cd (0.667, 0.333, 0.333)
Ge (0.000, 0.000, 0.500)
Ge (0.333, 0.667, 0.167)
Ge (0.667, 0.333, 0.833)

=====

Compound: SmCdGe2
Source: the Alexandria database
Functional: GGA-PBE
Structure: optimized geometry

Properties
As for the space-group type: I4/mmm, No. 139. The calculation puts the formation energy at -1.8 eV per formula unit. As for the calculated total energy: -66.8 eV/cell. The calculation puts the offset from the most stable computed form at 0 meV/atom.

a b c (Å): 4.262 4.262 19.293
angles (deg): 90.00 90.00 90.00
Fractional coordinates of all 16 atoms:
Sm (0.000, 0.000, 0.110)
Sm (0.000, 0.000, 0.890)
Sm (0.500, 0.500, 0.390)
Sm (0.500, 0.500, 0.610)
Cd (0.000, 0.500, 0.250)
Cd (0.000, 0.500, 0.750)
Cd (0.500, 0.000, 0.250)
Cd (0.500, 0.000, 0.750)
Ge (0.000, 0.000, 0.360)
Ge (0.000, 0.000, 0.640)
Ge (0.000, 0.500, 0.000)
Ge (0.000, 0.500, 0.500)
Ge (0.500, 0.000, 0.000)
Ge (0.500, 0.000, 0.500)
Ge (0.500, 0.500, 0.140)
Ge (0.500, 0.500, 0.860)

=====

Compound: Sm3CdGe
Source: the Alexandria database
Functional: GGA-PBE
Structure: optimized geometry

Properties
As for the space-group type: P-1, No. 2. The calculation puts the formation energy at -2.0 eV per formula unit. As for the calculated total energy: -43.4 eV/cell.

a b c (Å): 4.167 7.233 9.727
angles (deg): 88.89 89.91 73.35
Fractional coordinates of all 10 atoms:
Sm (0.049, 0.401, 0.152)
Sm (0.242, 0.017, 0.827)
Sm (0.418, 0.662, 0.371)
Sm (0.582, 0.338, 0.629)
Sm (0.758, 0.983, 0.173)
Sm (0.951, 0.599, 0.848)
Cd (0.182, 0.139, 0.424)
Cd (0.818, 0.861, 0.576)
Ge (0.391, 0.718, 0.067)
Ge (0.609, 0.282, 0.933)

=====

Compound: SmCdGe2
Source: the Alexandria database
Functional: GGA-PBE
Structure: optimized geometry

Properties
As for the space-group type: P4/mmm, No. 123. The calculation puts the formation energy at -1.7 eV per formula unit. As for the calculated total energy: -16.6 eV/cell. The calculation puts the offset from the most stable computed form at 35 meV/atom.

a b c (Å): 4.565 4.565 4.179
angles (deg): 90.00 90.00 90.00
Fractional coordinates of all 4 atoms:
Sm (0.000, 0.000, 0.000)
Cd (0.500, 0.500, 0.000)
Ge (0.000, 0.500, 0.500)
Ge (0.500, 0.000, 0.500)

=====

Compound: Sm7CdGe5
Source: the Alexandria database
Functional: GGA-PBE
Structure: optimized geometry

Properties
As for the space-group type: Imm2, No. 44. The calculation puts the formation energy at -6.5 eV per formula unit. As for the calculated total energy: -63.6 eV/cell.

a b c (Å): 8.084 8.084 8.084
angles (deg): 135.21 94.16 102.58
Fractional coordinates of all 13 atoms:
Sm (0.000, 0.000, 0.000)
Sm (0.030, 0.705, 0.325)
Sm (0.375, 0.375, 0.000)
Sm (0.381, 0.705, 0.675)
Sm (0.509, 0.009, 0.500)
Sm (0.590, 0.259, 0.331)
Sm (0.928, 0.259, 0.669)
Cd (0.688, 0.688, 0.000)
Ge (0.236, 0.194, 0.480)
Ge (0.236, 0.756, 0.042)
Ge (0.714, 0.194, 0.958)
Ge (0.714, 0.756, 0.520)
Ge (0.987, 0.487, 0.500)

=====

Compound: Sm5CdGe2
Source: the Alexandria database
Functional: GGA-PBE
Structure: optimized geometry

Properties
As for the space-group type: I4/mcm, No. 140. The calculation puts the formation energy at -4.3 eV per formula unit. As for the calculated total energy: -76.1 eV/cell.

a b c (Å): 9.157 9.157 9.157
angles (deg): 128.95 128.95 75.10
Fractional coordinates of all 16 atoms:
Sm (0.000, 0.000, 0.000)
Sm (0.026, 0.526, 0.831)
Sm (0.194, 0.026, 0.500)
Sm (0.306, 0.806, 0.831)
Sm (0.474, 0.306, 0.500)
Sm (0.500, 0.500, 0.000)
Sm (0.526, 0.694, 0.500)
Sm (0.694, 0.194, 0.169)
Sm (0.806, 0.974, 0.500)
Sm (0.974, 0.474, 0.169)
Cd (0.250, 0.250, 0.000)
Cd (0.750, 0.750, 0.000)
Ge (0.136, 0.364, 0.500)
Ge (0.364, 0.864, 0.228)
Ge (0.636, 0.136, 0.772)
Ge (0.864, 0.636, 0.500)

=====

Compound: Sm2CdGe
Source: the Alexandria database
Functional: GGA-PBE
Structure: optimized geometry

Properties
As for the space-group type: Cmcm, No. 63. The calculation puts the formation energy at -2.0 eV per formula unit. As for the calculated total energy: -68.1 eV/cell.

a b c (Å): 4.224 14.465 7.372
angles (deg): 90.00 90.00 90.00
Fractional coordinates of all 16 atoms:
Sm (0.000, 0.135, 0.006)
Sm (0.000, 0.135, 0.494)
Sm (0.000, 0.865, 0.506)
Sm (0.000, 0.865, 0.994)
Sm (0.500, 0.365, 0.506)
Sm (0.500, 0.365, 0.994)
Sm (0.500, 0.635, 0.006)
Sm (0.500, 0.635, 0.494)
Cd (0.000, 0.498, 0.250)
Cd (0.000, 0.502, 0.750)
Cd (0.500, 0.002, 0.750)
Cd (0.500, 0.998, 0.250)
Ge (0.000, 0.302, 0.250)
Ge (0.000, 0.698, 0.750)
Ge (0.500, 0.198, 0.750)
Ge (0.500, 0.802, 0.250)

=====

Compound: Sm6CdGe2
Source: the Alexandria database
Functional: GGA-PBE
Structure: optimized geometry

Properties
As for the space-group type: Immm, No. 71. The calculation puts the formation energy at -4.4 eV per formula unit. As for the calculated total energy: -85.7 eV/cell.

a b c (Å): 8.769 8.769 8.769
angles (deg): 111.31 110.64 106.50
Fractional coordinates of all 18 atoms:
Sm (0.050, 0.249, 0.801)
Sm (0.173, 0.470, 0.297)
Sm (0.173, 0.876, 0.703)
Sm (0.322, 0.227, 0.549)
Sm (0.322, 0.773, 0.095)
Sm (0.448, 0.249, 0.199)
Sm (0.552, 0.751, 0.801)
Sm (0.678, 0.227, 0.905)
Sm (0.678, 0.773, 0.451)
Sm (0.827, 0.124, 0.297)
Sm (0.827, 0.530, 0.703)
Sm (0.950, 0.751, 0.199)
Cd (0.000, 0.000, 0.000)
Cd (0.500, 0.500, 0.000)
Ge (0.154, 0.500, 0.654)
Ge (0.379, 0.879, 0.500)
Ge (0.621, 0.121, 0.500)
Ge (0.846, 0.500, 0.346)